(1)
CaCu2Se: optimized geometry, GGA-PBE.

a b c (Å): 6.7051 6.7051 6.7051
angles (deg): 90.00 90.00 90.00
Closest atoms and distances in Å follow each position.
Space group F-43m (No. 216)
Unique sites:
Ca 0.0000 0.0000 0.0000 [4 per cell]  4 Cu 2.90, 4 Se 2.90
Cu 0.0000 0.0000 0.5000 [4 per cell]  4 Se 2.90, 4 Cu 2.90
Cu 0.2500 0.2500 0.7500 [4 per cell]  4 Ca 2.90, 4 Cu 2.90
Se 0.2500 0.2500 0.2500 [4 per cell]  4 Ca 2.90, 4 Cu 2.90

Size of the total moment ... 0.0 μB per formula unit
Uncorrected formation energy ... -0.22 eV per atom

(2)
Fe2CuRu2: optimized geometry, GGA-PBE.

a b c (Å): 7.1342 7.1342 2.6156
angles (deg): 90.00 90.00 90.00
Closest atoms and distances in Å follow each position.
Space group P4/mbm (No. 127)
Unique sites:
Fe 0.1656 0.3344 0.0000 [4 per cell]  6 Ru 2.44-2.49, 2 Fe 2.62
Cu 0.0000 0.0000 0.5000 [2 per cell]  2 Cu 2.62, 4 Ru 2.80
Ru 0.1300 0.6300 0.5000 [4 per cell]  6 Fe 2.44-2.49, 3 Ru 2.62

Energy relative to the lowest polymorph listed for this composition ... 68 meV/atom
Size of the total moment ... 2.3 μB per formula unit

(3)
BeZnSeBr2: optimized geometry, GGA-PBE.

a b c (Å): 5.0027 5.0027 5.1848
angles (deg): 90.00 90.00 90.00
Closest atoms and distances in Å follow each position.
Space group P4/mmm (No. 123)
Unique sites:
Be 0.0000 0.0000 0.0000 [1 per cell]  4 Se 3.54, 8 Br 3.60
Zn 0.5000 0.5000 0.5000 [1 per cell]  4 Br 2.50, 2 Se 2.59
Se 0.5000 0.5000 0.0000 [1 per cell]  2 Zn 2.59
Br 0.0000 0.5000 0.5000 [2 per cell]  2 Zn 2.50

Energy relative to the lowest polymorph listed for this composition ... 441 meV/atom
Size of the total moment ... 0.0 μB per formula unit
Uncorrected formation energy ... 0.47 eV per atom

(4)
Cs4K3P2: optimized geometry, GGA-PBE.

a b c (Å): 5.2862 10.0867 10.5356
angles (deg): 68.77 75.48 89.89
Closest atoms and distances in Å follow each position.
Space group P-1 (No. 2)
Unique sites:
Cs 0.0799 0.2821 0.3380 [2 per cell]  2 P 3.60-3.67, 2 K 3.78
Cs 0.2749 0.8581 0.9517 [2 per cell]  3 P 3.68-3.84, 1 K 3.91
K 0.4021 0.2579 0.6941 [2 per cell]  2 P 3.27
K 0.5000 0.0000 0.5000 [1 per cell]  4 P 3.59, 4 Cs 3.78, 2 K 3.81
P 0.1046 0.9387 0.2912 [2 per cell]  4 K 3.27-3.59, 1 Cs 3.60

Size of the total moment ... 0.0 μB per formula unit
Total energy ... -2.066 eV per atom